Below is a relaxed ZnCrP2O8 crystal, with properties calculated at the GGA+U level.

Cell lengths 6.490, 6.490, 5.814 Å; angles 90.00, 90.00, 90.00 degrees
Space group I-4m2 (No. 119)
Asymmetric unit:
Zn 0.000 0.000 0.000 [2 per cell]
Cr 0.000 0.500 0.750 [2 per cell]
P 0.000 0.000 0.500 [2 per cell]
P 0.000 0.500 0.250 [2 per cell]
O 0.000 0.186 0.668 [8 per cell]
O 0.000 0.321 0.074 [8 per cell]

**E**: -160.01 eV/cell
**Magnetic moment**: 4.0 Bohr magnetons per cell